MnVPPd2, relaxed, DFT PBE; spin magnetization = 0.5989 μB per atom; N(E_F) = 2.1 states/eV/f.u.; energy of formation = 0.072 eV/atom; symmetry = P4/mmm (123)
1.0
4.4721 0.0000 0.0000
0.0000 4.4721 0.0000
0.0000 0.0000 4.4012
Mn V P Pd
1 1 1 2
Direct
0.0000 0.0000 0.0000
0.5000 0.5000 0.0000
0.5000 0.5000 0.5000
0.0000 0.5000 0.5000
0.5000 0.0000 0.5000